# NaAgSe2 | Alexandria via LeMat-Bulk | meta-GGA SCAN | PBEsol geometry
# theoretical density: 6098 kg/m³
# formation energy (no corrections): -0.2150 eV per atom
data_NaAgSe2
_chemical_formula_sum 'Na4 Ag4 Se8'
_space_group_name_H-M_alt 'F m -3 m'
_space_group_IT_number 225
_space_group_name_Hall '-F 4 2 3'
_cell_length_a 6.8009
_cell_length_b 6.8009
_cell_length_c 6.8009
_cell_angle_alpha 90.00
_cell_angle_beta 90.00
_cell_angle_gamma 90.00
loop_
_atom_site_label
_atom_site_type_symbol
_atom_site_fract_x
_atom_site_fract_y
_atom_site_fract_z
_atom_site_occupancy
Na1 Na 0.0000 0.0000 0.0000 1
Ag1 Ag 0.0000 0.0000 0.5000 1
Se1 Se 0.2500 0.2500 0.2500 1